{"formula": "SmScTlNi2", "functional": "PBE", "state": "relaxed", "sg": "Amm2, No. 38", "m_tot_mub_per_fu": 0.0, "rho_g_cm3": 8.6, "dft_energy_ev_per_atom": -5.3254, "lattice_angstrom": [[-2.1769, -0.3431, -2.8396], [0.9438, -7.3870, 0.1690], [-2.1048, -6.7211, 2.4257]], "species": ["Ni", "Ni", "Sc", "Sm", "Tl"], "frac_coords": [[0.0000, 0.1954, 0.1954], [0.0000, 0.7937, 0.7937], [0.5000, 0.6422, 0.6422], [0.5000, 0.3619, 0.3619], [0.0000, 0.0068, 0.0068]]}